A relaxed structure of Y6ZnPd5. Source: the Alexandria database, functional GGA-PBE.

a b c (Å): 4.9905 7.0587 7.8811
angles (deg): 90.00 108.38 90.00
Space group P2/m (No. 10)
One atom of each set of equivalent atoms:
Y (0.0000, 0.2461, 0.0000) (multiplicity 2)
Y (0.3325, 0.2493, 0.6645) (multiplicity 4)
Zn (0.5000, 0.5000, 0.0000) (multiplicity 1)
Pd (0.1615, 0.5000, 0.3243) (multiplicity 2)
Pd (0.1676, 0.0000, 0.3373) (multiplicity 2)
Pd (0.5000, 0.0000, 0.0000) (multiplicity 1)

Properties
spin magnetization: 0.0 μB/f.u.
DFT formation energy: -18.144 kcal/mol of atoms
VASP energy: -75.46 eV/f.u.